No. 1
Computed, not measured: a relaxed structure of Cs2RbMgCl at the PBE-GGA level of DFT.

Lattice parameters (Å, degrees): 6.824 6.824 6.509 90.00 90.00 90.00
Element x y z (fractional)
Mg1 0.500 0.500 0.500
Cs1 0.000 0.500 0.000
Cl1 0.000 0.000 0.000
Cs2 0.500 0.000 0.000
Rb1 0.000 0.000 0.500

* raw total energy: -1.83 eV per atom

---

No. 2
Computed, not measured: a relaxed structure of YCdHg3 at the PBE-GGA level of DFT.

Lattice parameters (Å, degrees): 5.201 3.617 14.065 97.39 94.33 90.00
Element x y z (fractional)
Cd1 0.712 0.915 0.830
Cd2 0.288 0.085 0.170
Hg1 0.762 0.028 0.055
Y1 0.804 0.621 0.242
Hg2 0.669 0.315 0.630
Hg3 0.828 0.213 0.426
Hg4 0.172 0.787 0.574
Hg5 0.238 0.972 0.945
Hg6 0.331 0.685 0.370
Y2 0.196 0.379 0.758

* DFT formation energy: -0.1621 eV/atom
* distance to the lowest polymorph of the same formula: 0.577 eV per formula unit

---

No. 3
Computed, not measured: a relaxed structure of MgSiF2 at the PBE-GGA level of DFT.

Lattice parameters (Å, degrees): 9.546 9.546 9.546 17.71 17.71 17.71
Element x y z (fractional)
Mg1 0.500 0.500 0.500
F1 0.131 0.131 0.131
F2 0.869 0.869 0.869
Si1 0.000 0.000 0.000

* distance to the lowest polymorph of the same formula: 0.000 eV per formula unit

---

No. 4
Computed, not measured: a relaxed structure of AcNiPt at the PBE-GGA level of DFT.

Lattice parameters (Å, degrees): 7.333 7.333 5.636 90.00 90.00 90.00
Element x y z (fractional)
Ac1 0.282 0.282 0.500
Ni1 0.432 0.432 0.000
Ni2 0.932 0.068 0.750
Pt1 0.811 0.811 0.500
Ac2 0.218 0.782 0.750
Ni3 0.068 0.932 0.250
Pt2 0.189 0.189 0.000
Ni4 0.568 0.568 0.500
Ac3 0.782 0.218 0.250
Pt3 0.311 0.689 0.250
Pt4 0.689 0.311 0.750
Ac4 0.718 0.718 0.000

* DFT formation energy: -0.3457 eV/atom
* distance to the lowest polymorph of the same formula: 1.202 eV per formula unit